(1)
GGA-PBE Pm2NdSi2Pt7, relaxed; formation energy from raw total energies = -1058 meV/atom; E_tot = -6.674 eV per atom
1.0
4.116 0.021 -0.097
0.026 4.116 -0.097
1.699 1.697 13.700
Pm Nd Si Pt
2 1 2 7
direct
0.893 0.893 0.357
0.107 0.107 0.643
0.000 0.000 0.000
0.587 0.587 0.745
0.413 0.413 0.255
0.500 0.500 0.000
0.380 0.380 0.425
0.620 0.620 0.575
0.944 0.445 0.164
0.445 0.944 0.164
0.555 0.056 0.836
0.056 0.555 0.836

***

(2)
GGA-PBE PmNd2Sn3Pt4, relaxed; energy of formation = -0.875 eV per atom; E_tot = -5.921 eV per atom
1.0
-1.227 -2.838 -3.425
-0.174 -3.520 2.979
-10.856 2.250 2.024
Pm Nd Sn Pt
1 2 3 4
direct
0.500 0.500 0.500
0.500 0.000 0.214
0.000 0.500 0.786
0.000 0.000 0.500
0.500 0.000 0.877
0.000 0.500 0.123
0.500 0.500 0.000
0.000 0.000 0.000
0.500 0.000 0.647
0.000 0.500 0.353